A plane-wave DFT calculation with GGA-PBE was carried out for crystalline CrCo2Ir at its relaxed geometry.

CIF file:
```
data_CrCo2Ir
_cell_length_a 4.468
_cell_length_b 4.468
_cell_length_c 4.472
_cell_angle_alpha 132.10
_cell_angle_beta 132.10
_cell_angle_gamma 70.05
_space_group_name_H-M_alt 'P 1'
_space_group_IT_number 1
loop_
_space_group_symop_operation_xyz
'x,y,z'
loop_
_atom_site_label
_atom_site_type_symbol
_atom_site_fract_x
_atom_site_fract_y
_atom_site_fract_z
Co1 Co 0.000 0.000 0.000
Co2 Co 0.500 0.500 0.000
Cr1 Cr 0.750 0.250 0.500
Ir1 Ir 0.250 0.750 0.500
```

* size of the total moment: 0.8 Bohr magnetons per cell
* formation energy: -0.039 eV/atom
* V: 48 Å³ per cell
* Fermi-level density of states: 5.1 states/eV/cell
* E_tot: -32.850 eV per cell